Zr2InIrPd | PBE-GGA | relaxed

As for the total magnetization: 0.90 μB per cell. The calculation puts the formation energy at 1.2679 eV per atom. The value obtained for the total DFT energy (no corrections) is -5.510 eV per atom.

It has space group P4/mmm (No. 123), with a = 5.196 Å, b = 5.196 Å, c = 4.704 Å, α = 90.00°, β = 90.00° and γ = 90.00°. The distinct sites, in fractional coordinates, are Zr at (0.000, 0.500, 0.000), In at (0.000, 0.000, 0.000), Ir at (0.500, 0.500, 0.500) and Pd at (0.000, 0.000, 0.500).

Pm7In2Ir | PBE-GGA | relaxed

As for the total magnetization: 0.00 μB per cell. The calculation puts the formation energy at 0.1268 eV per atom. The value obtained for the total DFT energy (no corrections) is -4.632 eV per atom.

It has space group Fm-3m (No. 225), with a = 11.115 Å, b = 11.115 Å, c = 11.115 Å, α = 90.00°, β = 90.00° and γ = 90.00°. The distinct sites, in fractional coordinates, are Pm at (0.000, 0.000, 0.000), Pm at (0.000, 0.000, 0.257), In at (0.250, 0.250, 0.250) and Ir at (0.000, 0.000, 0.500).

Pm5In2Ir2 | PBE-GGA | relaxed

As for the total magnetization: 0.00 μB per cell. The calculation puts the formation energy at -0.5280 eV per atom. The value obtained for the total DFT energy (no corrections) is -5.745 eV per atom.

It has space group Cmce (No. 64), with a = 16.386 Å, b = 7.473 Å, c = 8.188 Å, α = 90.00°, β = 90.00° and γ = 90.00°. The distinct sites, in fractional coordinates, are Pm at (0.000, 0.000, 0.000), Pm at (0.118, 0.169, 0.321), In at (0.218, 0.000, 0.000) and Ir at (0.000, 0.125, 0.625).

Pm5InIr4 | PBE-GGA | relaxed

As for the total magnetization: 0.00 μB per cell. The calculation puts the formation energy at -0.5818 eV per atom. The value obtained for the total DFT energy (no corrections) is -6.775 eV per atom.

It has space group P4/mmm (No. 123), with a = 3.606 Å, b = 3.606 Å, c = 17.821 Å, α = 90.00°, β = 90.00° and γ = 90.00°. The distinct sites, in fractional coordinates, are Pm at (0.000, 0.000, 0.000), Pm at (0.000, 0.000, 0.190), Pm at (0.000, 0.000, 0.378), In at (0.500, 0.500, 0.500), Ir at (0.500, 0.500, 0.096) and Ir at (0.500, 0.500, 0.289).

PmIn3Ir | PBE-GGA | relaxed

As for the total magnetization: 0.00 μB per cell. The calculation puts the formation energy at -0.4079 eV per atom. The value obtained for the total DFT energy (no corrections) is -4.773 eV per atom.

It has space group Amm2 (No. 38), with a = 4.736 Å, b = 4.769 Å, c = 10.840 Å, α = 90.00°, β = 90.00° and γ = 90.00°. The distinct sites, in fractional coordinates, are Pm at (0.000, 0.000, 0.000), In at (0.000, 0.000, 0.705), In at (0.500, 0.000, 0.200), In at (0.500, 0.000, 0.482) and Ir at (0.000, 0.000, 0.333).

Pm2In3Ir | PBE-GGA | relaxed

As for the total magnetization: 0.00 μB per cell. The calculation puts the formation energy at -0.4905 eV per atom. The value obtained for the total DFT energy (no corrections) is -4.920 eV per atom.

It has space group Pmm2 (No. 25), with a = 3.767 Å, b = 4.833 Å, c = 8.426 Å, α = 90.00°, β = 90.00° and γ = 90.00°. The distinct sites, in fractional coordinates, are Pm at (0.000, 0.000, 0.000), Pm at (0.000, 0.500, 0.421), In at (0.500, 0.000, 0.600), In at (0.500, 0.500, 0.121), In at (0.500, 0.500, 0.782) and Ir at (0.500, 0.000, 0.273).

Pm3InIr2 | PBE-GGA | relaxed

As for the total magnetization: 0.00 μB per cell. The calculation puts the formation energy at -0.5761 eV per atom. The value obtained for the total DFT energy (no corrections) is -6.361 eV per atom.

It has space group Ibam (No. 72), with a = 6.804 Å, b = 13.364 Å, c = 7.225 Å, α = 90.00°, β = 90.00° and γ = 90.00°. The distinct sites, in fractional coordinates, are Pm at (0.000, 0.000, 0.250), Pm at (0.000, 0.278, 0.250), In at (0.000, 0.500, 0.000) and Ir at (0.209, 0.137, 0.000).

PmIn2Ir | PBE-GGA | relaxed

As for the distance to the lowest polymorph of the same formula: 0.000 eV per atom. As for the total magnetization: 0.00 μB per cell. The calculation puts the formation energy at -0.5327 eV per atom. The value obtained for the total DFT energy (no corrections) is -5.305 eV per atom.

It has space group Cmcm (No. 63), with a = 4.380 Å, b = 10.313 Å, c = 8.130 Å, α = 90.00°, β = 90.00° and γ = 90.00°. The distinct sites, in fractional coordinates, are Pm at (0.000, 0.069, 0.250), In at (0.000, 0.355, 0.051) and Ir at (0.000, 0.221, 0.750).

PmIn2Ir | PBE-GGA | relaxed

As for the distance to the lowest polymorph of the same formula: 0.016 eV per atom. As for the total magnetization: 0.00 μB per cell. The calculation puts the formation energy at -0.5172 eV per atom. The value obtained for the total DFT energy (no corrections) is -5.289 eV per atom.

It has space group Pnma (No. 62), with a = 16.044 Å, b = 8.129 Å, c = 5.648 Å, α = 90.00°, β = 90.00° and γ = 90.00°. The distinct sites, in fractional coordinates, are Pm at (0.104, 0.250, 0.241), Pm at (0.141, 0.750, 0.459), In at (0.037, 0.050, 0.748), In at (0.214, 0.550, 0.970), Ir at (0.071, 0.750, 0.975) and Ir at (0.181, 0.250, 0.745).

Pm7In2Ir2 | PBE-GGA | relaxed

As for the distance to the lowest polymorph of the same formula: 0.000 eV per atom. As for the total magnetization: 0.00 μB per cell. The calculation puts the formation energy at -0.4301 eV per atom. The value obtained for the total DFT energy (no corrections) is -5.562 eV per atom.

It has space group Imm2 (No. 44), with a = 4.594 Å, b = 15.061 Å, c = 9.292 Å, α = 90.00°, β = 90.00° and γ = 90.00°. The distinct sites, in fractional coordinates, are Pm at (0.000, 0.000, 0.000), Pm at (0.000, 0.107, 0.392), Pm at (0.000, 0.326, 0.625), Pm at (0.000, 0.381, 0.207), In at (0.000, 0.227, 0.920), Ir at (0.000, 0.000, 0.659) and Ir at (0.000, 0.500, 0.718).

Pm4In5Ir2 | PBE-GGA | relaxed

As for the total magnetization: 0.00 μB per cell. The calculation puts the formation energy at -0.5469 eV per atom. The value obtained for the total DFT energy (no corrections) is -5.130 eV per atom.

It has space group P2/m (No. 10), with a = 7.786 Å, b = 3.781 Å, c = 9.764 Å, α = 90.00°, β = 93.79° and γ = 90.00°. The distinct sites, in fractional coordinates, are Pm at (0.173, 0.000, 0.351), Pm at (0.221, 0.000, 0.944), In at (0.177, 0.500, 0.652), In at (0.450, 0.500, 0.178), In at (0.500, 0.500, 0.500) and Ir at (0.074, 0.500, 0.140).

Pm2In8Ir | PBE-GGA | relaxed

As for the total magnetization: 0.00 μB per cell. The calculation puts the formation energy at -0.4134 eV per atom. The value obtained for the total DFT energy (no corrections) is -4.074 eV per atom.

It has space group P4/mmm (No. 123), with a = 4.696 Å, b = 4.696 Å, c = 12.293 Å, α = 90.00°, β = 90.00° and γ = 90.00°. The distinct sites, in fractional coordinates, are Pm at (0.000, 0.000, 0.193), In at (0.000, 0.500, 0.000), In at (0.000, 0.500, 0.379), In at (0.500, 0.500, 0.191) and Ir at (0.000, 0.000, 0.500).